[1]
Material: DyScGaAg
Method: DFT, PBE-GGA
State: optimized geometry

Summary:
- Energy of formation from the pure elements: -1.802 eV/f.u.
- Total moment: 0.000 μB/atom
- SG: F-43m, No. 216

abc: 4.9692 4.9692 4.9692
angles: 60.00 60.00 60.00
Atoms (fractional coordinates):
Dy 0.0000 0.0000 0.0000
Sc 0.5000 0.5000 0.5000
Ga 0.7500 0.7500 0.7500
Ag 0.2500 0.2500 0.2500

=====

[2]
Material: SiBiW3
Method: DFT, PBE-GGA
State: optimized geometry

Summary:
- ΔE_f (raw): 16.7 eV/f.u.
- Polymorph energy (0 for the lowest one): 1965 meV per atom
- Total moment: 0.000 μB/atom
- SG: Pm-3m, No. 221

abc: 5.0166 5.0166 5.0166
angles: 90.00 90.00 90.00
Atoms (fractional coordinates):
Si 0.0000 0.0000 0.0000
Bi 0.5000 0.5000 0.5000
W 0.0000 0.5000 0.5000
W 0.5000 0.0000 0.5000
W 0.5000 0.5000 0.0000

=====

[3]
Material: Rh2W
Method: DFT, PBE-GGA
State: optimized geometry

Summary:
- Energy of formation from the pure elements: -0.081 eV/f.u.
- Total moment: 0.000 μB/atom
- SG: I4_1/amd, No. 141

abc: 12.1172 12.1172 12.1172
angles: 166.78 166.78 18.73
Atoms (fractional coordinates):
Rh 0.2985 0.5485 0.7500
Rh 0.4515 0.7015 0.7500
Rh 0.5485 0.2985 0.2500
Rh 0.7015 0.4515 0.2500
W 0.1250 0.8750 0.2500
W 0.8750 0.1250 0.7500

=====

[4]
Material: LaDy7Th3
Method: DFT, PBE-GGA
State: optimized geometry

Summary:
- Energy of formation from the pure elements: 2.418 eV/f.u.
- Polymorph energy (0 for the lowest one): 0 meV per atom
- Total moment: 0.000 μB/atom
- SG: P3m1, No. 156

abc: 7.0798 7.0798 8.6051
angles: 90.00 90.00 120.00
Atoms (fractional coordinates):
La 0.0000 0.0000 0.0000
Dy 0.1662 0.3324 0.3447
Dy 0.1662 0.8338 0.3447
Dy 0.5016 0.0031 0.0034
Dy 0.5016 0.4984 0.0034
Dy 0.6667 0.3333 0.3439
Dy 0.6676 0.8338 0.3447
Dy 0.9969 0.4984 0.0034
Th 0.3349 0.1675 0.6722
Th 0.8325 0.1675 0.6722
Th 0.8325 0.6651 0.6722

=====

[5]
Material: Ce8Os2Pt
Method: DFT, PBE-GGA
State: optimized geometry

Summary:
- Energy of formation from the pure elements: -2.501 eV/f.u.
- Total moment: 0.271 μB/atom
- SG: C2/m, No. 12

abc: 7.5332 7.5332 5.6577
angles: 100.52 100.52 114.75
Atoms (fractional coordinates):
Ce 0.0974 0.3160 0.5806
Ce 0.2288 0.7712 0.0000
Ce 0.3160 0.0974 0.5806
Ce 0.3843 0.3843 0.1765
Ce 0.6157 0.6157 0.8235
Ce 0.6840 0.9026 0.4194
Ce 0.7712 0.2288 0.0000
Ce 0.9026 0.6840 0.4194
Os 0.2971 0.7029 0.5000
Os 0.7029 0.2971 0.5000
Pt 0.0000 0.0000 0.0000

=====

[6]
Material: In2SbCl
Method: DFT, PBE-GGA
State: optimized geometry

Summary:
- ΔE_f (raw): -1.2 eV/f.u.
- Polymorph energy (0 for the lowest one): 93 meV per atom
- Total moment: 0.000 μB/atom
- SG: C2/m, No. 12

abc: 5.7227 5.7227 3.4382
angles: 96.89 96.89 89.88
Atoms (fractional coordinates):
In 0.0000 0.5000 0.0000
In 0.5000 0.0000 0.0000
Sb 0.0000 0.0000 0.5000
Cl 0.5000 0.5000 0.5000

=====

[7]
Material: LiZrGeN2
Method: DFT, PBE-GGA
State: optimized geometry

Summary:
- ΔE_f (raw): 6.9 eV/f.u.
- Total moment: 0.102 μB/atom
- SG: P4/mmm, No. 123

abc: 3.9534 3.9534 5.1130
angles: 90.00 90.00 90.00
Atoms (fractional coordinates):
Li 0.0000 0.0000 0.0000
Zr 0.5000 0.5000 0.0000
Ge 0.5000 0.5000 0.5000
N 0.0000 0.5000 0.5000
N 0.5000 0.0000 0.5000

=====

[8]
Material: TmPaPb2O8
Method: DFT, PBE-GGA
State: optimized geometry

Summary:
- ΔE_f (raw): -25.0 eV/f.u.
- Total moment: 0.000 μB/atom
- SG: I-4m2, No. 119

abc: 6.2353 6.2353 6.2353
angles: 109.72 109.72 108.97
Atoms (fractional coordinates):
Tm 0.0000 0.0000 0.0000
Pa 0.7500 0.2500 0.5000
Pb 0.2500 0.7500 0.5000
Pb 0.5000 0.5000 0.0000
O 0.0293 0.3434 0.3141
O 0.0293 0.7153 0.6859
O 0.0935 0.2844 0.8091
O 0.2847 0.9707 0.3141
O 0.4754 0.2844 0.1909
O 0.6566 0.9707 0.6859
O 0.7156 0.5246 0.8091
O 0.7156 0.9065 0.1909

=====

Question: Which formula does entry 3 have?
Answer: Rh2W